1.
The following is a PBE calculation of a relaxed structure of PmPu2Cu2Si2, from the Alexandria database.

Calculated values
**ΔE_f (raw)**: -336 meV/atom
**N(E_F)**: 1.41 states/eV/atom
**DFT total energy**: -7.83 eV/atom

a b c (Å): 3.9725 3.9725 9.3403
angles (deg): 77.72 77.72 60.00
Positions (direct):
Pu (0.8496, 0.8496, 0.4512)
Cu (0.4107, 0.4107, 0.7679)
Si (0.2558, 0.2558, 0.2327)
Pm (0.0000, 0.0000, 0.0000)
Pu (0.1504, 0.1504, 0.5488)
Si (0.7442, 0.7442, 0.7673)
Cu (0.5893, 0.5893, 0.2321)

2.
The following is a PBE calculation of a relaxed structure of Cd8In4Ga, from the Alexandria database.

Calculated values
**N(E_F)**: 0.35 states/eV/atom
**DFT total energy**: -1.60 eV/atom
**Energy of formation**: 0.040 eV per atom

a b c (Å): 3.0904 17.4085 6.5079
angles (deg): 68.24 76.26 84.91
Positions (direct):
In (0.6444, 0.4900, 0.2212)
Ga (0.5768, 0.9156, 0.9307)
Cd (0.5110, 0.6477, 0.3302)
Cd (0.9510, 0.0379, 0.0602)
In (0.1758, 0.1429, 0.5056)
Cd (0.2642, 0.9627, 0.5088)
In (0.9051, 0.8182, 0.3716)
Cd (0.1657, 0.7690, 0.8996)
In (0.3886, 0.4654, 0.7574)
Cd (0.4350, 0.2003, 0.9296)
Cd (0.0576, 0.3338, 0.5510)
Cd (0.7749, 0.3115, 0.1387)
Cd (0.7950, 0.6375, 0.7726)

3.
The following is a PBE calculation of a relaxed structure of Hg3I2Br8, from the Alexandria database.

Calculated values
**ΔE_f (raw)**: -305 meV/atom
**DFT total energy**: -1.64 eV/atom

a b c (Å): 9.7611 8.8852 16.7608
angles (deg): 95.96 90.00 123.32
Positions (direct):
Br (0.3428, 0.8486, 0.3573)
Hg (0.6097, 0.6739, 0.9308)
Br (0.1073, 0.1763, 0.5955)
Br (0.5611, 0.6898, 0.0916)
Br (0.8927, 0.8237, 0.4045)
Br (0.9839, 0.7327, 0.1666)
I (0.9631, 0.5383, 0.8674)
Br (0.7489, 0.7327, 0.6666)
Br (0.0161, 0.2673, 0.8334)
Hg (0.7355, 0.0000, 0.7500)
Br (0.1287, 0.6898, 0.5916)
Hg (0.9358, 0.3261, 0.5692)
I (0.4247, 0.4617, 0.6326)
Hg (0.3903, 0.3261, 0.0692)
Br (0.4943, 0.1514, 0.1427)
Hg (0.2645, 0.0000, 0.2500)
Br (0.6572, 0.1514, 0.6427)
I (0.5753, 0.5383, 0.3674)
Br (0.0690, 0.1763, 0.0955)
Hg (0.0642, 0.6739, 0.4308)
Br (0.9310, 0.8237, 0.9045)
Br (0.5057, 0.8486, 0.8573)
Br (0.8713, 0.3102, 0.4084)
Br (0.4389, 0.3102, 0.9084)
I (0.0369, 0.4617, 0.1326)
Br (0.2511, 0.2673, 0.3334)

4.
The following is a PBE calculation of a relaxed structure of AsRhI2, from the Alexandria database.

Calculated values
**Distance to the lowest polymorph of the same formula**: 0.0 meV/atom
**ΔE_f (raw)**: 530 meV/atom
**N(E_F)**: 0.97 states/eV/atom
**DFT total energy**: -3.25 eV/atom

a b c (Å): 7.3984 7.3984 6.5592
angles (deg): 55.67 55.67 90.00
Positions (direct):
I (0.3750, 0.3401, 0.7500)
I (0.8750, 0.9099, 0.7500)
As (0.5000, 0.5000, 0.0000)
As (0.2500, 0.7500, 0.5000)
Rh (0.7500, 0.2500, 0.5000)
Rh (0.0000, 0.0000, 0.0000)
I (0.0901, 0.6250, 0.2500)
I (0.6599, 0.1250, 0.2500)

5.
The following is a PBE calculation of a relaxed structure of VAg3Te, from the Alexandria database.

Calculated values
**Distance to the lowest polymorph of the same formula**: 0.0 meV/atom
**ΔE_f (raw)**: 1053 meV/atom
**N(E_F)**: 1.73 states/eV/atom
**DFT total energy**: -3.11 eV/atom

a b c (Å): 5.2841 5.2841 5.2841
angles (deg): 90.00 90.00 90.00
Last column: magnetic moment on the atom in μB.
Positions (direct):
Ag (0.0000, 0.5000, 0.0000)  0.03
Te (0.0000, 0.0000, 0.0000)  0.07
Ag (0.5000, 0.0000, 0.0000)  0.03
Ag (0.0000, 0.0000, 0.5000)  0.03
V (0.5000, 0.5000, 0.5000)  3.19

6.
The following is a PBE calculation of a relaxed structure of Er6TlSe4, from the Alexandria database.

Calculated values
**ΔE_f (raw)**: -1315 meV/atom
**N(E_F)**: 0.76 states/eV/atom
**DFT total energy**: -5.29 eV/atom

a b c (Å): 3.9894 7.0136 20.6266
angles (deg): 90.00 90.00 106.52
Positions (direct):
Se (0.5875, 0.1750, 0.6222)
Er (0.5000, 0.0000, 0.0000)
Er (0.0487, 0.0974, 0.3359)
Er (0.3502, 0.7005, 0.2500)
Er (0.5000, 0.0000, 0.5000)
Er (0.9513, 0.9026, 0.8359)
Se (0.4125, 0.8250, 0.1222)
Se (0.8605, 0.7209, 0.9612)
Er (0.7713, 0.5425, 0.0885)
Se (0.5875, 0.1750, 0.8778)
Se (0.8605, 0.7209, 0.5388)
Er (0.2287, 0.4575, 0.9115)
Se (0.4125, 0.8250, 0.3778)
Tl (0.6743, 0.3487, 0.2500)
Se (0.1395, 0.2791, 0.0388)
Tl (0.3257, 0.6513, 0.7500)
Er (0.2287, 0.4575, 0.5885)
Er (0.0487, 0.0974, 0.1641)
Er (0.6498, 0.2995, 0.7500)
Er (0.7713, 0.5425, 0.4115)
Se (0.1395, 0.2791, 0.4612)
Er (0.9513, 0.9026, 0.6641)

7.
The following is a PBE calculation of a relaxed structure of HoIrPt2, from the Alexandria database.

Calculated values
**N(E_F)**: 0.85 states/eV/atom
**DFT total energy**: -7.19 eV/atom
**Energy of formation**: -0.807 eV per atom

a b c (Å): 4.1051 4.0729 4.0729
angles (deg): 90.00 90.00 90.00
Positions (direct):
Ir (0.5000, 0.5000, 0.5000)
Pt (0.0000, 0.0000, 0.5000)
Pt (0.0000, 0.5000, 0.0000)
Ho (0.5000, 0.0000, 0.0000)

8.
The following is a PBE calculation of a relaxed structure of SmPa2PN6, from the Alexandria database.

Calculated values
**ΔE_f (raw)**: -918 meV/atom
**DFT total energy**: -8.83 eV/atom

a b c (Å): 5.1454 5.2563 5.2563
angles (deg): 90.00 90.00 90.00
Positions (direct):
N (0.7366, 0.7786, 0.7786)
P (0.6087, 0.0000, 0.0000)
N (0.7366, 0.2214, 0.2214)
Sm (0.5399, 0.5000, 0.5000)
N (0.2799, 0.0000, 0.0000)
N (0.7366, 0.7786, 0.2214)
N (0.0941, 0.5000, 0.5000)
N (0.7366, 0.2214, 0.7786)
Pa (0.9888, 0.5000, 0.0000)
Pa (0.9888, 0.0000, 0.5000)

9.
The following is a PBE calculation of a relaxed structure of Cs4Sm3BiSe8, from the Alexandria database.

Calculated values
**ΔE_f (raw)**: -1493 meV/atom
**N(E_F)**: 0.00 states/eV/atom
**DFT total energy**: -4.58 eV/atom

a b c (Å): 8.7297 9.7862 8.7299
angles (deg): 116.50 120.00 90.00
Positions (direct):
Cs (0.5000, 0.0000, 0.5000)
Se (0.2705, 0.3114, 0.5409)
Sm (0.0000, 0.5000, 0.5000)
Se (0.2312, 0.6896, 0.4625)
Se (0.7295, 0.6886, 0.4591)
Se (0.2728, 0.3104, 0.0415)
Bi (0.0000, 0.5000, 0.0000)
Cs (0.0000, 0.0000, 0.0000)
Se (0.7688, 0.3104, 0.0415)
Se (0.7272, 0.6896, 0.9585)
Sm (0.5000, 0.5000, 0.0000)
Cs (0.5000, 0.0000, 0.0000)
Se (0.2312, 0.6896, 0.9585)
Sm (0.5000, 0.5000, 0.5000)
Cs (0.0000, 0.0000, 0.5000)
Se (0.7688, 0.3104, 0.5375)

10.
The following is a PBE calculation of a relaxed structure of NdPaTcPd, from the Alexandria database.

Calculated values
**N(E_F)**: 0.98 states/eV/atom
**DFT total energy**: -7.66 eV/atom
**Energy of formation**: -0.207 eV per atom

a b c (Å): 4.9676 4.9676 4.9676
angles (deg): 60.00 60.00 60.00
Positions (direct):
Tc (0.2500, 0.2500, 0.2500)
Nd (0.0000, 0.0000, 0.0000)
Pa (0.5000, 0.5000, 0.5000)
Pd (0.7500, 0.7500, 0.7500)

11.
The following is a PBE calculation of a relaxed structure of LiSbCl2, from the Alexandria database.

Calculated values
**Distance to the lowest polymorph of the same formula**: 158.5 meV/atom
**ΔE_f (raw)**: -919 meV/atom
**N(E_F)**: 0.21 states/eV/atom
**DFT total energy**: -3.35 eV/atom

a b c (Å): 3.3319 3.3319 8.0488
angles (deg): 90.00 90.00 90.35
Positions (direct):
Li (0.0000, 0.0000, 0.3077)
Cl (0.0000, 0.0000, 0.0251)
Sb (0.5000, 0.5000, 0.7532)
Cl (0.5000, 0.5000, 0.4140)

12.
The following is a PBE calculation of a relaxed structure of Sr3Pr3SmTe8, from the Alexandria database.

Calculated values
**ΔE_f (raw)**: -1559 meV/atom
**N(E_F)**: 0.35 states/eV/atom
**DFT total energy**: -4.84 eV/atom

a b c (Å): 9.1077 9.1060 9.3340
angles (deg): 119.21 90.00 120.01
Positions (direct):
Sr (0.0000, 0.5000, 0.0000)
Sm (0.0000, 0.0000, 0.5000)
Pr (0.0000, 0.5000, 0.5000)
Sr (0.5000, 0.5000, 0.0000)
Sr (0.0000, 0.0000, 0.0000)
Te (0.2525, 0.5050, 0.2574)
Te (0.2521, 0.0071, 0.2621)
Te (0.7475, 0.4950, 0.7426)
Te (0.7550, 0.0071, 0.2621)
Te (0.7548, 0.5096, 0.2619)
Te (0.2452, 0.4904, 0.7381)
Pr (0.5000, 0.5000, 0.5000)
Te (0.7479, 0.9929, 0.7379)
Pr (0.5000, 0.0000, 0.5000)
Te (0.2450, 0.9929, 0.7379)

> Look up the DFT total energy of the third one.

-1.64 eV/atom

Copy entry 4 word for word.
The following is a PBE calculation of a relaxed structure of AsRhI2, from the Alexandria database.

Calculated values
**Distance to the lowest polymorph of the same formula**: 0.0 meV/atom
**ΔE_f (raw)**: 530 meV/atom
**N(E_F)**: 0.97 states/eV/atom
**DFT total energy**: -3.25 eV/atom

a b c (Å): 7.3984 7.3984 6.5592
angles (deg): 55.67 55.67 90.00
Positions (direct):
I (0.3750, 0.3401, 0.7500)
I (0.8750, 0.9099, 0.7500)
As (0.5000, 0.5000, 0.0000)
As (0.2500, 0.7500, 0.5000)
Rh (0.7500, 0.2500, 0.5000)
Rh (0.0000, 0.0000, 0.0000)
I (0.0901, 0.6250, 0.2500)
I (0.6599, 0.1250, 0.2500)

> Which value of DFT total energy does entry 10 give?

-7.66 eV/atom